Record 1
Density functional theory data (GGA-PBE) for an optimized crystal structure of Ca2AcErSe4.

Unit cell a=4.211 b=7.330 c=7.379 alpha=109.11 beta=90.00 gamma=90.00
Positions (direct):
Ca (0.500, 0.000, 0.500)
Ca (0.000, 0.500, 0.500)
Ac (0.500, 0.500, 0.000)
Er (0.000, 0.000, 0.000)
Se (0.500, 0.235, 0.249)
Se (0.500, 0.765, 0.751)
Se (0.000, 0.230, 0.739)
Se (0.000, 0.770, 0.261)

Results
- Formation energy (no corrections): -14.8 eV per formula unit
- Symmetry: P2/m, No. 10


Record 2
Density functional theory data (GGA-PBE) for an optimized crystal structure of CaAcSmEr.

Unit cell a=5.946 b=5.946 c=5.946 alpha=60.00 beta=60.00 gamma=60.00
Positions (direct):
Ac (0.000, 0.000, 0.000)
Ca (0.250, 0.250, 0.250)
Sm (0.500, 0.500, 0.500)
Er (0.750, 0.750, 0.750)

Results
- Energy of formation: 0.11 eV per atom
- Symmetry: F-43m, No. 216


Record 3
Density functional theory data (GGA-PBE) for an optimized crystal structure of Ca3Ac2ErTe6.

Unit cell a=7.860 b=7.860 c=7.946 alpha=99.56 beta=99.56 gamma=119.92
Positions (direct):
Ca (0.173, 0.827, 0.500)
Ca (0.827, 0.173, 0.500)
Ca (0.500, 0.500, 0.500)
Ac (0.335, 0.665, 0.000)
Ac (0.665, 0.335, 0.000)
Er (0.000, 0.000, 0.000)
Te (0.914, 0.599, 0.742)
Te (0.773, 0.773, 0.261)
Te (0.086, 0.401, 0.258)
Te (0.599, 0.914, 0.742)
Te (0.227, 0.227, 0.739)
Te (0.401, 0.086, 0.258)

Results
- Formation energy (no corrections): -17.9 eV per formula unit
- Symmetry: C2/m, No. 12


Record 4
Density functional theory data (GGA-PBE) for an optimized crystal structure of Ca2AcErTe4.

Unit cell a=4.491 b=7.816 c=7.893 alpha=109.09 beta=90.00 gamma=90.00
Positions (direct):
Ca (0.500, 0.000, 0.500)
Ca (0.000, 0.500, 0.500)
Ac (0.000, 0.000, 0.000)
Er (0.500, 0.500, 0.000)
Te (0.500, 0.269, 0.260)
Te (0.500, 0.731, 0.740)
Te (0.000, 0.265, 0.751)
Te (0.000, 0.735, 0.249)

Results
- Formation energy (no corrections): -11.7 eV per formula unit
- Symmetry: P2/m, No. 10


Record 5
Density functional theory data (GGA-PBE) for an optimized crystal structure of CaAc2ErTe4.

Unit cell a=4.482 b=7.783 c=8.147 alpha=108.38 beta=90.00 gamma=90.00
Positions (direct):
Ca (0.500, 0.500, 0.000)
Ac (0.500, 0.000, 0.500)
Ac (0.000, 0.500, 0.500)
Er (0.000, 0.000, 0.000)
Te (0.500, 0.237, 0.222)
Te (0.500, 0.763, 0.778)
Te (0.000, 0.254, 0.775)
Te (0.000, 0.746, 0.225)

Results
- Formation energy (no corrections): -11.5 eV per formula unit
- Symmetry: P2/m, No. 10


Record 6
Density functional theory data (GGA-PBE) for an optimized crystal structure of CaAcErTl.

Unit cell a=5.748 b=5.748 c=5.748 alpha=60.00 beta=60.00 gamma=60.00
Each line ends with the local moment (μB).
Positions (direct):
Ac (0.500, 0.500, 0.500)  0.14
Ca (0.750, 0.750, 0.750)  0.04
Tl (0.000, 0.000, 0.000)  0.00
Er (0.250, 0.250, 0.250)  0.21

Results
- Energy of formation: 0.08 eV per atom
- Symmetry: F-43m, No. 216


Record 7
Density functional theory data (GGA-PBE) for an optimized crystal structure of CaAcYEr.

Unit cell a=5.922 b=5.922 c=5.922 alpha=60.00 beta=60.00 gamma=60.00
Positions (direct):
Y (0.500, 0.500, 0.500)
Ac (0.000, 0.000, 0.000)
Ca (0.250, 0.250, 0.250)
Er (0.750, 0.750, 0.750)

Results
- Energy of formation: 0.12 eV per atom
- Symmetry: F-43m, No. 216


Record 8
Density functional theory data (GGA-PBE) for an optimized crystal structure of CaAcEu2.

Unit cell a=6.229 b=6.229 c=6.229 alpha=60.00 beta=60.00 gamma=60.00
Each line ends with the local moment (μB).
Positions (direct):
Eu (0.250, 0.250, 0.250)  -6.91
Eu (0.750, 0.750, 0.750)  -6.91
Ac (0.000, 0.000, 0.000)  -0.06
Ca (0.500, 0.500, 0.500)  -0.01

Results
- Energy of formation: 0.05 eV per atom
- Symmetry: Fm-3m, No. 225


Record 9
Density functional theory data (GGA-PBE) for an optimized crystal structure of CaAc2Eu.

Unit cell a=4.410 b=6.277 c=6.277 alpha=90.00 beta=90.00 gamma=90.00
Each line ends with the local moment (μB).
Positions (direct):
Eu (0.500, 0.500, 0.500)  6.89
Ac (0.000, 0.000, 0.500)  0.04
Ac (0.000, 0.500, 0.000)  0.04
Ca (0.500, 0.000, 0.000)  0.00

Results
- Energy of formation: 0.05 eV per atom
- Symmetry: P4/mmm, No. 123


Record 10
Density functional theory data (GGA-PBE) for an optimized crystal structure of Ca2AcEu.

Unit cell a=3.811 b=3.811 c=14.078 alpha=82.22 beta=82.22 gamma=60.00
Each line ends with the local moment (μB).
Positions (direct):
Eu (0.500, 0.500, 0.500)  6.99
Ac (0.000, 0.000, 0.000)  0.01
Ca (0.089, 0.089, 0.733)  0.00
Ca (0.911, 0.911, 0.267)  0.00

Results
- Energy of formation: 0.15 eV per atom
- Symmetry: R-3m, No. 166


Record 11
Density functional theory data (GGA-PBE) for an optimized crystal structure of CaAcEu2.

Unit cell a=3.833 b=3.833 c=14.008 alpha=82.14 beta=82.14 gamma=60.00
Each line ends with the local moment (μB).
Positions (direct):
Eu (0.089, 0.089, 0.734)  7.00
Eu (0.911, 0.911, 0.266)  7.00
Ac (0.000, 0.000, 0.000)  0.09
Ca (0.500, 0.500, 0.500)  0.00

Results
- Energy of formation: 0.16 eV per atom
- Symmetry: R-3m, No. 166


Record 12
Density functional theory data (GGA-PBE) for an optimized crystal structure of CaAc4Eu.

Unit cell a=7.421 b=7.421 c=7.421 alpha=60.00 beta=60.00 gamma=60.00
Each line ends with the local moment (μB).
Positions (direct):
Eu (0.000, 0.000, 0.000)  6.93
Ac (0.625, 0.625, 0.125)  0.02
Ac (0.625, 0.125, 0.625)  0.02
Ac (0.625, 0.625, 0.625)  0.02
Ac (0.125, 0.625, 0.625)  0.02
Ca (0.250, 0.250, 0.250)  -0.01

Results
- Energy of formation: 0.20 eV per atom
- Symmetry: F-43m, No. 216